This record from Alexandria describes a relaxed structure of Mn2TlW. The functional is GGA-PBEsol.

Summary:
Uncorrected energy   -8.5541 eV/atom
Calculated density   14.34 g/cm3
Energy of formation   0.436 eV per atom
Magnetic moment   0.86 μB/f.u.

Unit cell a=3.045 b=3.045 c=6.221 alpha=90.00 beta=90.00 gamma=90.00
Sites, in units of the cell vectors:
Mn  0.000  0.000  0.716
Mn  0.000  0.000  0.284
Tl  0.500  0.500  0.000
W  0.500  0.500  0.500

This record from Alexandria describes a relaxed structure of KLaNbGe2. The functional is GGA-PBEsol.

Summary:
Uncorrected energy   -4.0380 eV/atom
Calculated density   5.39 g/cm3
Energy of formation   1.398 eV per atom
Magnetic moment   1.44 μB/f.u.

Unit cell a=4.700 b=5.223 c=5.223 alpha=90.00 beta=90.00 gamma=90.00
Sites, in units of the cell vectors:
K  0.000  0.000  0.000
Nb  0.500  0.000  0.000
Ge  0.000  0.000  0.500
Ge  0.000  0.500  0.000
La  0.500  0.500  0.500

This record from Alexandria describes a relaxed structure of MgTa2Mn. The functional is GGA-PBEsol.

Summary:
Uncorrected energy   -8.8967 eV/atom
Calculated density   11.46 g/cm3
Energy of formation   0.248 eV per atom
Magnetic moment   0.00 μB/f.u.

Unit cell a=3.100 b=4.508 c=5.327 alpha=114.99 beta=106.92 gamma=90.00
Sites, in units of the cell vectors:
Mg  0.474  0.473  0.947
Mn  0.738  0.239  0.475
Ta  0.033  0.033  0.067
Ta  0.255  0.755  0.511

This record from Alexandria describes a relaxed structure of Li2CuP3H2O10. The functional is GGA-PBEsol.

Summary:
Uncorrected energy   -6.5519 eV/atom
Calculated density   2.83 g/cm3
Magnetic moment   0.04 μB/f.u.

Unit cell a=7.057 b=7.792 c=7.866 alpha=72.38 beta=75.48 gamma=73.98
Sites, in units of the cell vectors:
P  0.303  0.918  0.888
P  0.751  0.271  0.736
P  0.190  0.302  0.655
P  0.810  0.698  0.345
P  0.249  0.729  0.264
P  0.697  0.082  0.112
Li  0.328  0.345  0.974
Li  0.406  0.658  0.636
Li  0.594  0.342  0.364
Li  0.672  0.655  0.026
Cu  0.705  0.943  0.607
Cu  0.295  0.057  0.393
O  0.907  0.689  0.842
O  0.524  0.876  0.884
O  0.817  0.108  0.906
O  0.228  0.822  0.788
O  0.591  0.422  0.799
O  0.956  0.341  0.651
O  0.221  0.138  0.832
O  0.687  0.750  0.516
O  0.228  0.464  0.696
O  0.710  0.189  0.602
O  0.290  0.811  0.398
O  0.772  0.536  0.304
O  0.313  0.250  0.484
O  0.779  0.862  0.168
O  0.044  0.659  0.349
O  0.409  0.578  0.201
O  0.772  0.178  0.212
O  0.183  0.892  0.094
O  0.476  0.124  0.116
O  0.093  0.311  0.158
H  0.001  0.765  0.840
H  0.002  0.596  0.782
H  0.998  0.404  0.218
H  0.999  0.235  0.160